Material: YCOF2
Method: DFT, PBE
State: optimized geometry

Properties
- space group = No. 123
- energy relative to the elements, uncorrected (eV per atom) = -1.093
- polymorph energy (0 for the lowest one) (meV per atom) = 0.0
- crystal system = tetragonal

Structure (CIF):
```
data_YCOF2
_cell_length_a 4.319
_cell_length_b 4.319
_cell_length_c 4.582
_cell_angle_alpha 90.00
_cell_angle_beta 90.00
_cell_angle_gamma 90.00
_symmetry_space_group_name_H-M 'P 1'
_symmetry_Int_Tables_number 1
_symmetry_space_group_name_Hall 'P 1'
loop_
_atom_site_label
_atom_site_fract_x
_atom_site_fract_y
_atom_site_fract_z
Y1 0.000 0.000 0.000
C1 0.500 0.500 0.500
O1 0.000 0.000 0.500
F1 0.000 0.500 0.000
F2 0.500 0.000 0.000
```